{
  "formula": "CrSiAu",
  "functional": "PBE",
  "state": "relaxed",
  "lattice_angstrom": [[2.8265, 0.0000, 0.0000], [-1.4133, 2.4479, 0.0000], [0.0000, 0.0000, 6.3544]],
  "species": ["Au", "Cr", "Si"],
  "fractional_positions": [[0.0000, 0.0000, 0.0017], [0.6667, 0.3333, 0.3555], [0.3333, 0.6667, 0.6428]],
  "magmom_total_mub_per_fu": 1.2,
  "spacegroup": "P3m1 (156)",
  "raw_formation_energy_ev_per_atom": 0.251
}